The following is a PBE calculation of crystalline CsCu2F4 at its relaxed geometry, from Alexandria via LeMat-Bulk.

Computed properties:
magnetization = 1.0 μB/f.u.
D(E_F) = 5.3 states/eV/cell
raw formation energy = -1.79 eV per atom

Unit cell a=6.8617 b=6.8617 c=7.1717 alpha=118.58 beta=118.58 gamma=90.00
With the nearest neighbours (Å) after each atom.
Element x y z (fractional)
Cs1 0.7500 0.2500 0.5000  8 F 3.05
Cs2 0.5000 0.5000 0.0000  8 F 3.05
Cu1 0.1250 0.8750 0.7500  4 F 1.99-2.00
Cu2 0.6250 0.8750 0.7500  4 F 1.99-2.00
Cu3 0.1250 0.8750 0.2500  4 F 1.99-2.00
Cu4 0.1250 0.3750 0.2500  4 F 1.99-2.00
F1 0.9762 0.8585 0.4256  2 Cu 1.99-2.00
F2 0.1415 0.5506 0.5744  2 Cu 1.99-2.00
F3 0.4329 0.0238 0.5744  2 Cu 1.99-2.00
F4 0.8006 0.1829 0.0744  2 Cu 1.99-2.00
F5 0.8171 0.7262 0.9256  2 Cu 1.99-2.00
F6 0.1085 0.1994 0.9256  2 Cu 1.99-2.00
F7 0.4494 0.5671 0.4256  2 Cu 1.99-2.00
F8 0.2738 0.8915 0.0744  2 Cu 1.99-2.00